Record 1
{
  "formula": "Sn3PdAu",
  "functional": "GGA-PBE",
  "state": "optimized geometry",
  "lattice": [[5.7551, -0.5800, 0.0000], [-1.9576, 6.2301, 0.0000], [0.0000, 0.0000, 7.0067]],
  "species": ["Sn", "Sn", "Sn", "Sn", "Sn", "Sn", "Pd", "Pd", "Au", "Au"],
  "fractional_positions": [[0.9253, 0.6917, 0.4878], [0.4004, 0.0370, 0.7500], [0.9253, 0.6917, 0.0122], [0.0747, 0.3083, 0.5122], [0.5996, 0.9630, 0.2500], [0.0747, 0.3083, 0.9878], [0.8208, 0.9587, 0.7500], [0.1792, 0.0413, 0.2500], [0.5039, 0.5026, 0.7500], [0.4961, 0.4974, 0.2500]],
  "ef_mev_per_atom": -157,
  "vol_a3_per_atom": 24.33,
  "magnetic_moment_mub_per_cell": 0.0,
  "dft_energy_ev_per_atom": -4.252,
  "density_g_cm3": 9.0
}



Record 2
{
  "formula": "Sn12Pd6Au",
  "functional": "GGA-PBE",
  "state": "optimized geometry",
  "lattice": [[-1.2898, -3.4351, -7.0232], [2.7027, -6.2049, 4.1212], [-7.4195, 0.3894, 2.7548]],
  "species": ["Sn", "Sn", "Sn", "Sn", "Sn", "Sn", "Sn", "Sn", "Sn", "Sn", "Sn", "Sn", "Pd", "Pd", "Pd", "Pd", "Pd", "Pd", "Au"],
  "fractional_positions": [[0.6718, 0.9497, 0.0898], [0.9497, 0.0898, 0.6718], [0.5831, 0.1810, 0.4428], [0.4169, 0.8190, 0.5572], [0.9102, 0.3282, 0.0503], [0.0898, 0.6718, 0.9497], [0.0503, 0.9102, 0.3282], [0.5572, 0.4169, 0.8190], [0.4428, 0.5831, 0.1810], [0.1810, 0.4428, 0.5831], [0.3282, 0.0503, 0.9102], [0.8190, 0.5572, 0.4169], [0.8619, 0.4098, 0.7054], [0.1381, 0.5902, 0.2946], [0.4098, 0.7054, 0.8619], [0.5902, 0.2946, 0.1381], [0.7054, 0.8619, 0.4098], [0.2946, 0.1381, 0.5902], [0.0000, 0.0000, 0.0000]],
  "ef_mev_per_atom": -315,
  "vol_a3_per_atom": 24.77,
  "magnetic_moment_mub_per_cell": 0.0,
  "dft_energy_ev_per_atom": -4.655,
  "density_g_cm3": 8.0
}



Record 3
{
  "formula": "SnPd12Au6",
  "functional": "GGA-PBE",
  "state": "optimized geometry",
  "lattice": [[-0.9200, -2.7478, -6.4334], [-2.8262, -4.9845, 4.1175], [-4.9766, 4.9994, 0.1607]],
  "species": ["Pd", "Pd", "Pd", "Pd", "Pd", "Pd", "Pd", "Pd", "Pd", "Pd", "Pd", "Pd", "Au", "Au", "Au", "Au", "Au", "Au", "Sn"],
  "fractional_positions": [[0.7432, 0.9997, 0.2568], [0.8153, 0.4098, 0.4103], [0.4103, 0.8153, 0.4098], [0.1847, 0.5902, 0.5897], [0.2568, 0.0003, 0.7432], [0.2568, 0.7432, 0.9997], [0.5902, 0.5897, 0.1847], [0.5897, 0.1847, 0.5902], [0.4098, 0.4103, 0.8153], [0.0003, 0.7432, 0.2568], [0.7432, 0.2568, 0.0003], [0.9997, 0.2568, 0.7432], [0.8297, 0.8291, 0.5697], [0.8291, 0.5697, 0.8297], [0.4303, 0.1703, 0.1709], [0.1709, 0.4303, 0.1703], [0.1703, 0.1709, 0.4303], [0.5697, 0.8297, 0.8291], [0.0000, 0.0000, 0.0000]],
  "ef_mev_per_atom": -19,
  "vol_a3_per_atom": 17.12,
  "magnetic_moment_mub_per_cell": 0.0,
  "dft_energy_ev_per_atom": -4.544,
  "density_g_cm3": 13.2
}



Record 4
{
  "formula": "Sn6Pd5Au",
  "functional": "GGA-PBE",
  "state": "optimized geometry",
  "lattice": [[-6.7440, -3.5147, -0.2590], [1.2903, -5.6231, -1.3650], [1.0839, -4.0641, 4.8923]],
  "species": ["Pd", "Pd", "Pd", "Pd", "Pd", "Sn", "Sn", "Sn", "Sn", "Sn", "Sn", "Au"],
  "fractional_positions": [[0.5000, 0.1202, 0.7597], [0.5000, 0.8798, 0.2403], [0.5000, 0.5000, 0.0000], [0.0000, 0.3005, 0.3990], [0.0000, 0.6995, 0.6010], [0.2901, 0.8963, 0.6267], [0.7099, 0.4770, 0.6267], [0.7955, 0.6879, 0.0000], [0.2901, 0.5230, 0.3733], [0.7099, 0.1037, 0.3733], [0.2045, 0.3121, 0.0000], [0.0000, 0.0000, 0.0000]],
  "ef_mev_per_atom": -306,
  "vol_a3_per_atom": 20.84,
  "magnetic_moment_mub_per_cell": 0.0,
  "dft_energy_ev_per_atom": -4.744,
  "density_g_cm3": 9.6
}